DFT (PBE) results for a relaxed LuZnRe crystal.

The structure belongs to space group F-43m (No. 216); the cell edges are 6.478, 6.478 and 6.478 Å and the angles 90.00°, 90.00° and 90.00°. The inequivalent atoms are Lu at (0.000, 0.000, 0.000), Zn at (0.250, 0.250, 0.250) and Re at (0.250, 0.250, 0.750).

As for the volume: 272 Å³/cell. The size of the total moment comes out at 0.653 μB per atom. The calculated density comes out at 10.42 Mg/m³. The total energy is -4.866 eV/atom. The calculation puts the energy above the lowest structure with this stoichiometry at 132.1 kJ/mol of formula units. For the calculated formation energy, the calculation gives 1.205 eV/atom.